Computed, not measured: crystalline YEr2Hg5 at its relaxed geometry at the PBE-GGA level of DFT.

a = 5.1126 Å, b = 6.3500 Å, c = 6.3500 Å
α = 70.69°, β = 90.00°, γ = 90.00°
Positions (direct):
Hg: 0.5000 0.1315 0.1315
Hg: 0.0000 0.8339 0.3948
Y: 0.0000 0.8951 0.8951
Hg: 0.0000 0.3948 0.8339
Hg: 0.5000 0.1430 0.6298
Hg: 0.5000 0.6298 0.1430
Er: 0.5000 0.6349 0.6349
Er: 0.0000 0.3370 0.3370

Summary:
Magnetic moment ... 0.007 μB/f.u.
DFT formation energy ... -419 meV/atom
Mass density ... 12.17 g/cm³
Crystal system ... orthorhombic
Electronic total energy ... -2.5542 eV per atom


Computed, not measured: crystalline NaHoHgSe3 at its relaxed geometry at the PBE-GGA level of DFT.

a = 9.3574 Å, b = 9.3574 Å, c = 8.9271 Å
α = 104.03°, β = 104.03°, γ = 25.29°
Positions (direct):
Ho: 0.8230 0.8230 0.4078
Se: 0.6662 0.6662 0.3652
Se: 0.6821 0.6821 0.8185
Se: 0.3179 0.3179 0.1815
Na: 0.8716 0.8716 0.9146
Hg: 0.4701 0.4701 0.2738
Se: 0.0000 0.0000 0.5000
Ho: 0.1770 0.1770 0.5922
Se: 0.5000 0.5000 0.0000
Se: 0.3338 0.3338 0.6348
Hg: 0.5299 0.5299 0.7262
Na: 0.1284 0.1284 0.0854

Summary:
Magnetic moment ... 0.000 μB/f.u.
Mass density ... 6.42 g/cm³
Crystal system ... monoclinic
Electronic total energy ... -3.8430 eV per atom


Computed, not measured: crystalline Dy6ErTe2Ir2 at its relaxed geometry at the PBE-GGA level of DFT.

a = 9.3902 Å, b = 9.3902 Å, c = 9.3902 Å
α = 155.81°, β = 66.22°, γ = 119.40°
Positions (direct):
Te: 0.0192 0.0192 0.0000
Te: 0.4183 0.9183 0.5000
Ir: 0.5165 0.7541 0.7624
Dy: 0.1333 0.2648 0.8685
Dy: 0.0600 0.4139 0.6461
Dy: 0.7389 0.0545 0.6844
Ir: 0.9918 0.7541 0.2376
Dy: 0.3964 0.2648 0.1315
Er: 0.6824 0.6824 0.0000
Dy: 0.7678 0.4139 0.3539
Dy: 0.3701 0.0545 0.3156

Summary:
Magnetic moment ... 0.006 μB/f.u.
Mass density ... 10.09 g/cm³
Crystal system ... orthorhombic
Electronic total energy ... -6.0171 eV per atom


Computed, not measured: crystalline CsZnSbH2 at its relaxed geometry at the PBE-GGA level of DFT.

a = 4.6711 Å, b = 4.6711 Å, c = 6.3711 Å
α = 90.15°, β = 90.15°, γ = 60.18°
Positions (direct):
Zn: 0.3327 0.3327 0.2862
Cs: 0.6660 0.6660 0.8504
H: 0.3325 0.3325 0.0269
H: 0.9998 0.9998 0.6466
Sb: 0.9991 0.9991 0.3726

Summary:
Mass density ... 4.43 g/cm³
Crystal system ... monoclinic
Electronic total energy ... -2.7846 eV per atom


Computed, not measured: crystalline CsDy2Br5 at its relaxed geometry at the PBE-GGA level of DFT.

a = 9.8091 Å, b = 9.8091 Å, c = 9.8091 Å
α = 132.45°, β = 132.45°, γ = 69.52°
Positions (direct):
Br: 0.2710 0.4695 0.5000
Cs: 0.7500 0.7500 0.0000
Dy: 0.3553 0.1447 0.5000
Dy: 0.6447 0.8553 0.5000
Br: 0.7290 0.5305 0.5000
Br: 0.7710 0.2710 0.8015
Dy: 0.1447 0.6447 0.7894
Cs: 0.2500 0.2500 0.0000
Br: 0.4695 0.9695 0.1985
Br: 0.5000 0.5000 0.0000
Br: 0.9695 0.7710 0.5000
Br: 0.5305 0.0305 0.8015
Br: 0.0000 0.0000 0.0000
Dy: 0.8553 0.3553 0.2106
Br: 0.0305 0.2290 0.5000
Br: 0.2290 0.7290 0.1985

Summary:
Magnetic moment ... 0.002 μB/f.u.
Mass density ... 5.65 g/cm³
Crystal system ... tetragonal
Electronic total energy ... -3.8597 eV per atom


Computed, not measured: crystalline Li6PdAu at its relaxed geometry at the PBE-GGA level of DFT.

a = 4.3270 Å, b = 4.3270 Å, c = 6.1204 Å
α = 90.00°, β = 90.00°, γ = 90.00°
Positions (direct):
Au: 0.5000 0.5000 0.5000
Li: 0.5000 0.5000 0.0000
Pd: 0.0000 0.0000 0.0000
Li: 0.5000 0.0000 0.7554
Li: 0.5000 0.0000 0.2446
Li: 0.0000 0.5000 0.2446
Li: 0.0000 0.5000 0.7554
Li: 0.0000 0.0000 0.5000

Summary:
Mass density ... 5.00 g/cm³
Crystal system ... tetragonal
Electronic total energy ... -2.8391 eV per atom


- What is the formula in the second record?
  NaHoHgSe3


What did the sixth record say?
Computed, not measured: crystalline Li6PdAu at its relaxed geometry at the PBE-GGA level of DFT.

a = 4.3270 Å, b = 4.3270 Å, c = 6.1204 Å
α = 90.00°, β = 90.00°, γ = 90.00°
Positions (direct):
Au: 0.5000 0.5000 0.5000
Li: 0.5000 0.5000 0.0000
Pd: 0.0000 0.0000 0.0000
Li: 0.5000 0.0000 0.7554
Li: 0.5000 0.0000 0.2446
Li: 0.0000 0.5000 0.2446
Li: 0.0000 0.5000 0.7554
Li: 0.0000 0.0000 0.5000

Summary:
Mass density ... 5.00 g/cm³
Crystal system ... tetragonal
Electronic total energy ... -2.8391 eV per atom


- electronic total energy of number 2 (NaHoHgSe3)?
  -3.8430 eV per atom